# Ba2DySb3Pd4, relaxed, DFT PBE
# Crystal system = tetragonal
# V = 25.43 Å³ per atom
# Uncorrected formation energy = -0.8528 eV/atom
# Final energy = -5.011 eV per atom
data_Ba2DySb3Pd4
_cell_length_a 4.7124
_cell_length_b 4.7124
_cell_length_c 11.4516
_cell_angle_alpha 90.00
_cell_angle_beta 90.00
_cell_angle_gamma 90.00
_space_group_name_H-M_alt 'P -4 m 2'
_space_group_IT_number 115
loop_
_space_group_symop_operation_xyz
'x,y,z'
'y,-x,-z'
'-x,-y,z'
'-y,x,-z'
'-x,y,z'
'-y,-x,-z'
'x,-y,z'
'y,x,-z'
loop_
_atom_site_label
_atom_site_fract_x
_atom_site_fract_y
_atom_site_fract_z
_atom_site_occupancy
Ba1 0.0000 0.5000 0.2302 1
Dy1 0.0000 0.0000 0.5000 1
Sb1 0.0000 0.5000 0.8780 1
Sb2 0.5000 0.5000 0.5000 1
Pd1 0.0000 0.0000 0.0000 1
Pd2 0.0000 0.5000 0.6393 1
Pd3 0.5000 0.5000 0.0000 1